(1)
# ReSiGe2 (GGA-PBE, relaxed)
data_ReSiGe2
_space_group_name_H-M_alt 'P 1'
_space_group_IT_number 1
_cell_length_a 5.695
_cell_length_b 5.695
_cell_length_c 6.876
_cell_angle_alpha 65.54
_cell_angle_beta 65.54
_cell_angle_gamma 90.00
loop_
_space_group_symop_operation_xyz
'x,y,z'
loop_
_atom_site_label
_atom_site_fract_x
_atom_site_fract_y
_atom_site_fract_z
_atom_site_occupancy
Re1 0.000 0.000 0.000 1
Re2 0.750 0.250 0.500 1
Ge1 0.626 0.125 0.250 1
Ge2 0.124 0.625 0.250 1
Ge3 0.375 0.374 0.750 1
Ge4 0.875 0.876 0.750 1
Si1 0.500 0.500 0.000 1
Si2 0.250 0.750 0.500 1
# ΔE_f (raw) = 0.7967 eV per atom

=====

(2)
# VReSiGe2 (GGA-PBE, relaxed)
data_VReSiGe2
_space_group_name_H-M_alt 'P 1'
_space_group_IT_number 1
_cell_length_a 4.558
_cell_length_b 4.300
_cell_length_c 4.558
_cell_angle_alpha 90.00
_cell_angle_beta 90.00
_cell_angle_gamma 90.00
loop_
_space_group_symop_operation_xyz
'x,y,z'
loop_
_atom_site_label
_atom_site_fract_x
_atom_site_fract_y
_atom_site_fract_z
_atom_site_occupancy
Re1 0.500 0.500 0.500 1
Ge1 0.000 0.000 0.500 1
Ge2 0.500 0.000 0.000 1
Si1 0.000 0.000 0.000 1
V1 0.000 0.500 0.000 1
# ΔE_f (raw) = 1.4526 eV per atom

=====

(3)
# SmReGe4 (GGA-PBE, relaxed)
data_SmReGe4
_space_group_name_H-M_alt 'P 1'
_space_group_IT_number 1
_cell_length_a 6.419
_cell_length_b 6.857
_cell_length_c 6.514
_cell_angle_alpha 92.03
_cell_angle_beta 119.49
_cell_angle_gamma 90.01
loop_
_space_group_symop_operation_xyz
'x,y,z'
loop_
_atom_site_label
_atom_site_fract_x
_atom_site_fract_y
_atom_site_fract_z
_atom_site_occupancy
Sm1 0.904 0.750 0.998 1
Sm2 0.096 0.250 0.002 1
Re1 0.500 0.000 0.500 1
Re2 0.000 0.500 0.500 1
Ge1 0.587 0.091 0.902 1
Ge2 0.685 0.410 0.098 1
Ge3 0.413 0.909 0.098 1
Ge4 0.315 0.590 0.902 1
Ge5 0.862 0.849 0.499 1
Ge6 0.361 0.651 0.499 1
Ge7 0.138 0.151 0.501 1
Ge8 0.639 0.349 0.501 1
# Calculated formation energy = -2.9 kcal/mol of atoms

=====

(4)
# SmReGe2 (GGA-PBE, relaxed)
data_SmReGe2
_space_group_name_H-M_alt 'P 1'
_space_group_IT_number 1
_cell_length_a 4.737
_cell_length_b 4.737
_cell_length_c 4.649
_cell_angle_alpha 59.37
_cell_angle_beta 59.37
_cell_angle_gamma 60.00
loop_
_space_group_symop_operation_xyz
'x,y,z'
loop_
_atom_site_label
_atom_site_fract_x
_atom_site_fract_y
_atom_site_fract_z
_atom_site_occupancy
Re1 0.000 0.000 0.000 1
Ge1 0.246 0.246 0.261 1
Ge2 0.754 0.754 0.739 1
Sm1 0.500 0.500 0.500 1
# Calculated formation energy = -1.6 kcal/mol of atoms

=====

no.,total moment (μB/cell)
1,2.0
2,0.0
3,0.0
4,0.0